1.
Density functional theory data (PBE-GGA) for Sr2InCu after structural relaxation.

Cell lengths 4.5306, 4.5306, 6.8492 Å; angles 90.00, 90.00, 90.00 degrees
With the nearest neighbours (Å) after each atom.
Space group P4mm (No. 99)
Inequivalent atoms, fractional coordinates:
Sr 0.0000 0.0000 0.0000  4 In 3.33, 2 Cu 3.38-3.47
Sr 0.5000 0.5000 0.3946  2 In 3.25-3.60, 4 Cu 3.27
In 0.5000 0.5000 0.8692  6 Sr 3.25-3.60
Cu 0.0000 0.0000 0.4931  6 Sr 3.27-3.47

Summary:
* VASP energy: -10.16 eV for the cell shown



2.
Density functional theory data (PBE-GGA) for LaOs2Pb after structural relaxation.

Cell lengths 7.6621, 7.6621, 6.1796 Å; angles 90.00, 90.00, 90.00 degrees
With the nearest neighbours (Å) after each atom.
Space group I-42d (No. 122)
Inequivalent atoms, fractional coordinates:
La 0.0000 0.0000 0.0000  4 Os 2.96, 2 Pb 3.09
Os 0.2238 0.2500 0.6250  2 Pb 2.68, 2 La 2.96
Pb 0.0000 0.0000 0.5000  4 Os 2.68

Summary:
* VASP energy: -107.39 eV for the cell shown



3.
Density functional theory data (PBE-GGA) for LiThTiTc after structural relaxation.

Cell lengths 6.7317, 6.7317, 6.7317 Å; angles 90.00, 90.00, 90.00 degrees
With the nearest neighbours (Å) after each atom.
Space group F-43m (No. 216)
Inequivalent atoms, fractional coordinates:
Li 0.0000 0.0000 0.0000  4 Th 2.91, 4 Ti 2.91
Th 0.2500 0.2500 0.2500  4 Li 2.91, 4 Tc 2.91
Ti 0.2500 0.2500 0.7500  4 Li 2.91, 4 Tc 2.91
Tc 0.0000 0.0000 0.5000  4 Th 2.91, 4 Ti 2.91

Summary:
* VASP energy: -110.05 eV for the cell shown



Repeat the third record exactly.
Density functional theory data (PBE-GGA) for LiThTiTc after structural relaxation.

Cell lengths 6.7317, 6.7317, 6.7317 Å; angles 90.00, 90.00, 90.00 degrees
With the nearest neighbours (Å) after each atom.
Space group F-43m (No. 216)
Inequivalent atoms, fractional coordinates:
Li 0.0000 0.0000 0.0000  4 Th 2.91, 4 Ti 2.91
Th 0.2500 0.2500 0.2500  4 Li 2.91, 4 Tc 2.91
Ti 0.2500 0.2500 0.7500  4 Li 2.91, 4 Tc 2.91
Tc 0.0000 0.0000 0.5000  4 Th 2.91, 4 Ti 2.91

Summary:
* VASP energy: -110.05 eV for the cell shown



Question: What is the VASP energy in the first record?
Answer: -10.16 eV for the cell shown



Question: What is the VASP energy in the second record?
Answer: -107.39 eV for the cell shown



Question: Look up the VASP energy of the second one.
Answer: -107.39 eV for the cell shown